Run P
Density functional theory data (PBE) for an optimized crystal structure of HfAsH2.

Lattice parameters (Å, degrees): 7.042 7.042 7.042 147.46 147.46 46.68
Sites, in units of the cell vectors:
1 Hf 0.000 0.000 0.000
2 Hf 0.750 0.250 0.500
3 As 0.250 0.750 0.500
4 As 0.500 0.500 0.000
5 H 0.375 0.122 0.247
6 H 0.872 0.625 0.747
7 H 0.875 0.128 0.753
8 H 0.878 0.125 0.253

## Properties
DOS(E_F), states/eV/cell: 3.34
Space group: I-42d (122)
Crystal system: tetragonal



Run Q
Density functional theory data (PBE) for an optimized crystal structure of HfAsH2.

Lattice parameters (Å, degrees): 3.323 3.323 5.213 108.70 108.70 61.12
Sites, in units of the cell vectors:
1 Hf 0.000 0.000 0.000
2 As 0.805 0.805 0.419
3 H 0.307 0.307 0.915
4 H 0.613 0.613 0.842

## Properties
DOS(E_F), states/eV/cell: 0.78
Space group: Cm (8)
Crystal system: monoclinic



Run R
Density functional theory data (PBE) for an optimized crystal structure of HfAsH2.

Lattice parameters (Å, degrees): 3.955 3.955 3.955 60.00 60.00 60.00
Sites, in units of the cell vectors:
1 Hf 0.000 0.000 0.000
2 As 0.500 0.500 0.500
3 H 0.250 0.250 0.250
4 H 0.750 0.750 0.750

## Properties
DOS(E_F), states/eV/cell: 3.20
Space group: Fm-3m (225)
Crystal system: cubic



Question: which arrangement is favored energetically? Ranking from most to least stable: run Q, run P, run R.



Run P
Density functional theory data (PBE) for an optimized crystal structure of Hf4As2H.

Lattice parameters (Å, degrees): 7.841 7.841 7.841 150.33 150.33 42.46
Sites, in units of the cell vectors:
1 Hf 0.000 0.500 0.500
2 Hf 0.175 0.175 0.000
3 Hf 0.500 0.000 0.500
4 Hf 0.825 0.825 0.000
5 As 0.361 0.361 0.000
6 As 0.639 0.639 0.000
7 H 0.000 0.000 0.000

## Properties
DOS(E_F), states/eV/cell: 2.94
Space group: I4/mmm (139)
Crystal system: tetragonal



Run Q
Density functional theory data (PBE) for an optimized crystal structure of Hf4As2H.

Lattice parameters (Å, degrees): 6.960 6.960 6.960 113.47 113.36 101.84
Sites, in units of the cell vectors:
1 Hf 0.199 0.210 0.512
2 Hf 0.199 0.687 0.988
3 Hf 0.210 0.199 0.012
4 Hf 0.313 0.801 0.512
5 Hf 0.687 0.199 0.488
6 Hf 0.790 0.801 0.988
7 Hf 0.801 0.313 0.012
8 Hf 0.801 0.790 0.488
9 As 0.000 0.500 0.500
10 As 0.500 0.000 0.000
11 As 0.500 0.500 0.000
12 As 0.500 0.500 0.500
13 H 0.124 0.874 0.250
14 H 0.876 0.126 0.750

## Properties
DOS(E_F), states/eV/cell: 5.62
Space group: Imma (74)
Crystal system: orthorhombic



Question: which arrangement is favored energetically? Ranking from most to least stable: run P, run Q.



Run P
Density functional theory data (PBE) for an optimized crystal structure of Hf2As2H.

Lattice parameters (Å, degrees): 6.131 6.131 6.131 135.23 135.23 65.17
Sites, in units of the cell vectors:
1 Hf 0.250 0.750 0.500
2 Hf 0.750 0.250 0.500
3 As 0.131 0.131 0.000
4 As 0.869 0.869 0.000
5 H 0.500 0.500 0.000

## Properties
DOS(E_F), states/eV/cell: 1.49
Space group: I4/mmm (139)
Crystal system: tetragonal



Run Q
Density functional theory data (PBE) for an optimized crystal structure of Hf2As2H.

Lattice parameters (Å, degrees): 6.759 6.759 7.289 90.00 90.00 149.07
Sites, in units of the cell vectors:
1 Hf 0.068 0.932 0.500
2 Hf 0.354 0.646 0.392
3 Hf 0.646 0.354 0.892
4 Hf 0.932 0.068 0.000
5 As 0.276 0.724 0.052
6 As 0.455 0.545 0.716
7 As 0.545 0.455 0.216
8 As 0.724 0.276 0.552
9 H 0.080 0.920 0.922
10 H 0.920 0.080 0.422

## Properties
DOS(E_F), states/eV/cell: 4.68
Space group: Cmc2_1 (36)
Crystal system: orthorhombic



Question: which arrangement is favored energetically? Ranking from most to least stable: run Q, run P.



Run P
Density functional theory data (PBE) for an optimized crystal structure of HfAsHRh2.

Lattice parameters (Å, degrees): 3.958 3.958 4.236 90.00 90.00 90.00
Sites, in units of the cell vectors:
1 Hf 0.000 0.000 0.000
2 As 0.500 0.500 0.000
3 H 0.000 0.000 0.500
4 Rh 0.000 0.500 0.500
5 Rh 0.500 0.000 0.500

## Properties
DOS(E_F), states/eV/cell: 2.82
Space group: P4/mmm (123)
Crystal system: tetragonal



Run Q
Density functional theory data (PBE) for an optimized crystal structure of HfAsHRh2.

Lattice parameters (Å, degrees): 4.830 4.830 5.165 90.00 90.00 90.00
Sites, in units of the cell vectors:
1 Hf 0.000 0.000 0.000
2 As 0.000 0.000 0.500
3 H 0.500 0.500 0.500
4 Rh 0.000 0.500 0.000
5 Rh 0.500 0.000 0.000

## Properties
DOS(E_F), states/eV/cell: 6.03
Space group: P4/mmm (123)
Crystal system: tetragonal



Question: which arrangement is favored energetically? Ranking from most to least stable: run P, run Q.